This record from Alexandria describes AcZnIr after structural relaxation. The functional is PBE.

Calculated values
Raw total energy: -5.276 eV/atom
SG: P-6m2
Offset from the most stable computed form: 0.50 kcal/mol of atoms

Lattice parameters (Å, degrees): 4.2437 4.4183 4.4183 120.00 90.00 90.00
Last column: nearest neighbours and their distance in Å.
Sites, in units of the cell vectors:
Ac (0.6665, 0.3333, 0.6667)  6 Ir 3.32, 6 Zn 3.32
Ir (0.1669, 0.6667, 0.3333)  3 Zn 2.55
Zn (0.1666, 0.0000, 0.0000)  3 Ir 2.55

This record from Alexandria describes AcZn11Ir after structural relaxation. The functional is PBE.

Calculated values
Raw total energy: -2.281 eV/atom
SG: C2/m

Lattice parameters (Å, degrees): 5.1338 7.0041 7.0263 82.33 68.57 68.58
Last column: nearest neighbours and their distance in Å.
Sites, in units of the cell vectors:
Ac (0.0000, 0.0000, 0.0000)  18 Zn 3.30-3.51, 2 Ir 3.51
Zn (0.2702, 0.2325, 0.2332)  7 Zn 2.64-2.90, 1 Ir 2.64
Zn (0.7298, 0.7675, 0.7668)  7 Zn 2.64-2.90, 1 Ir 2.64
Zn (0.4966, 0.7675, 0.2332)  7 Zn 2.64-2.90, 1 Ir 2.64
Zn (0.5034, 0.2325, 0.7668)  7 Zn 2.64-2.90, 1 Ir 2.64
Zn (0.3735, 0.6375, 0.6478)  8 Zn 2.64-2.90, 1 Ir 2.75
Zn (0.6265, 0.3625, 0.3522)  8 Zn 2.64-2.90, 1 Ir 2.75
Zn (0.9787, 0.3625, 0.6478)  8 Zn 2.64-2.90, 1 Ir 2.75
Zn (0.0213, 0.6375, 0.3522)  8 Zn 2.64-2.90, 1 Ir 2.75
Zn (0.0000, 0.5000, 0.0000)  2 Ir 2.57, 8 Zn 2.66-2.82
Zn (0.5000, 0.0000, 0.5000)  8 Zn 2.57-2.82
Zn (0.0000, 0.0000, 0.5000)  8 Zn 2.57-2.82
Ir (0.5000, 0.5000, 0.0000)  10 Zn 2.57-2.75